Here is a crystal of LiSb2Pb relaxed with PBEsol from Alexandria. Energies are from SCAN.

abc: 3.345 5.604 6.426
angles: 115.53 105.09 90.00
Fractional positions:
Li1 0.501 0.611 0.002
Sb1 0.996 0.118 0.991
Sb2 0.757 0.141 0.514
Pb1 0.246 0.630 0.493

**DFT total energy**: -38.28 eV/atom
**Total magnetic moment**: 0.0 μB per cell
**Formation energy from raw total energies**: -41 kJ/mol of formula units